The following is a PBE-GGA calculation of an optimized crystal structure of Th3Ni4Pd2, from the Alexandria database.

Lattice parameters (Å, degrees): 7.022 7.022 7.022 148.33 101.16 87.45
Element x y z (fractional)
Th1 0.000 0.000 0.000
Th2 0.331 0.831 0.500
Th3 0.669 0.169 0.500
Ni1 0.013 0.203 0.810
Ni2 0.393 0.203 0.190
Ni3 0.607 0.797 0.810
Ni4 0.987 0.797 0.190
Pd1 0.267 0.500 0.767
Pd2 0.733 0.500 0.233

- Fermi-level density of states (states/eV per cell) = 5.1
- density (g/cm³) = 11.0
- ΔH_f (0 K) (eV per atom) = -0.38
- calculated total energy (eV per cell) = -59.2